a:
4
Lattice="-2.053 1.443 -3.144 2.524 -3.914 -3.444 -3.820 -4.932 2.804" Properties=species:S:1:pos:R:3 comment="Ba2PbBr (SCAN, single point on PBEsol structure)" crystal_system=orthorhombic pbc="T T T"
Pb -2.095 -3.260 -2.702
Ba 1.196 -2.014 -1.705
Ba -2.438 -2.118 0.620
Br -1.039 0.711 -1.569

b:
4
Lattice="4.393 0.000 0.000 0.000 5.336 0.000 0.000 0.000 6.875" Properties=species:S:1:pos:R:3 comment="Ba2PbBr (SCAN, single point on PBEsol structure)" crystal_system=orthorhombic pbc="T T T"
Pb 2.196 2.668 3.438
Ba 0.000 0.000 3.438
Ba 2.196 2.668 0.000
Br 0.000 0.000 0.000

So which one is most stable? That would be b, about 2.1 kJ/mol of atoms below the next structure.

a:
4
Lattice="4.424 0.000 0.000 2.212 3.831 0.000 2.212 1.277 8.072" Properties=species:S:1:pos:R:3 comment="Ba2RhBr (SCAN, single point on PBEsol structure)" crystal_system=trigonal pbc="T T T"
Rh 2.212 1.277 0.017
Ba 6.635 3.831 1.692
Ba 6.635 3.831 6.373
Br 4.424 2.554 4.027

b:
4
Lattice="4.484 0.000 0.000 2.242 3.883 0.000 2.242 1.294 7.891" Properties=species:S:1:pos:R:3 comment="Ba2RhBr (SCAN, single point on PBEsol structure)" crystal_system=trigonal pbc="T T T"
Rh 0.000 0.000 0.000
Ba 6.726 3.883 6.225
Ba 2.242 1.294 1.666
Br 4.484 2.589 3.946

c:
4
Lattice="4.577 0.000 0.000 0.000 4.577 0.000 0.000 0.000 6.400" Properties=species:S:1:pos:R:3 comment="Ba2RhBr (SCAN, single point on PBEsol structure)" crystal_system=tetragonal pbc="T T T"
Rh 2.289 2.289 5.813
Ba 0.000 0.000 5.616
Ba 2.289 2.289 2.141
Br 0.000 0.000 2.431

d:
4
Lattice="-0.610 -3.196 1.922 2.792 0.900 2.383 -5.388 3.933 4.828" Properties=species:S:1:pos:R:3 comment="Ba2RhBr (SCAN, single point on PBEsol structure)" crystal_system=tetragonal pbc="T T T"
Rh -1.603 0.818 4.567
Ba -3.868 2.823 3.466
Ba -1.520 1.110 1.362
Br 1.091 -1.148 2.153

So which one is most stable? That would be b, about 2.1 kJ/mol of atoms below the next structure.